a) RbSrSeBr2 PBE optimized geometry; Fermi-level density of states = 0.63 states/eV per atom; M_tot = 0.00 μB/f.u.; theoretical density = 3.33 g cm⁻³; calculated volume = 205.6 Å³/cell
1.0
6.0015 0.0000 0.0000
0.0000 6.0015 0.0000
0.0000 0.0000 5.7094
Rb Sr Se Br
1 1 1 2
Cartesian
0.0000 0.0000 0.0000 Rb
3.0008 3.0008 2.8547 Sr
0.0000 0.0000 2.8547 Se
0.0000 3.0008 0.0000 Br
3.0008 0.0000 0.0000 Br


b) RbSrSeBr2 PBE optimized geometry; Fermi-level density of states = 1.26 states/eV per atom; M_tot = 1.01 μB/f.u.; theoretical density = 3.13 g cm⁻³; calculated volume = 218.7 Å³/cell
1.0
6.0071 0.0000 0.0000
0.0000 6.0071 0.0000
0.0000 0.0000 6.0606
Rb Sr Se Br
1 1 1 2
Cartesian
0.0000 0.0000 0.0000 Rb
3.0036 3.0036 3.0303 Sr
3.0036 3.0036 0.0000 Se
0.0000 3.0036 3.0303 Br
3.0036 0.0000 3.0303 Br


b) is favored, and the nearest alternative lies 643 meV/atom above it.